Record 1
Compound: CaFe2Ni2
Source: Alexandria
Functional: PBE
Structure: optimized geometry

VASP energy: -5.921 eV/atom
Density of states at the Fermi level: 4.1 states/eV/cell
Energy relative to the lowest polymorph listed for this composition: 97.2 meV/atom
Crystal system: tetragonal
DFT formation energy: 17.1 kJ per mole of atoms
Space-group type: I4/mmm (139)

Cell: 5.522 5.522 5.522 Å, 136.49 136.49 63.22°
Sites, in units of the cell vectors:
Ca: 0.000 0.000 0.000
Fe: 0.376 0.376 0.000
Fe: 0.624 0.624 0.000
Ni: 0.250 0.750 0.500
Ni: 0.750 0.250 0.500

Record 2
Compound: FeCuTc
Source: Alexandria
Functional: PBE
Structure: optimized geometry

VASP energy: -7.429 eV/atom
Density of states at the Fermi level: 2.5 states/eV/cell
Energy relative to the lowest polymorph listed for this composition: 13.8 meV/atom
Crystal system: tetragonal
DFT formation energy: 20.5 kJ per mole of atoms
Space-group type: I4mm (107)

Cell: 5.671 5.671 5.671 Å, 152.87 152.87 38.75°
Sites, in units of the cell vectors:
Fe: 0.000 0.000 0.000
Cu: 0.337 0.337 0.000
Tc: 0.655 0.655 0.000

Record 3
Compound: KNbPt3
Source: Alexandria
Functional: PBE
Structure: optimized geometry

VASP energy: -3.630 eV/atom
Density of states at the Fermi level: 14.9 states/eV/cell
Energy relative to the lowest polymorph listed for this composition: 1805.5 meV/atom
Crystal system: cubic
DFT formation energy: 215.0 kJ per mole of atoms
Space-group type: Pm-3m (221)

Cell: 4.805 4.805 4.805 Å, 90.00 90.00 90.00°
Sites, in units of the cell vectors:
K: 0.000 0.000 0.000
Nb: 0.500 0.500 0.500
Pt: 0.000 0.000 0.500
Pt: 0.000 0.500 0.000
Pt: 0.500 0.000 0.000

Record 4
Compound: La4Tm3PuSe8
Source: Alexandria
Functional: PBE
Structure: optimized geometry

VASP energy: -6.533 eV/atom
Density of states at the Fermi level: 15.7 states/eV/cell
Formation energy (no corrections): -1.8248 eV per atom
Crystal system: trigonal
Space-group type: R-3m (166)

Cell: 8.417 8.417 8.417 Å, 59.15 59.15 59.15°
Sites, in units of the cell vectors:
La: 0.000 0.000 0.000
La: 0.000 0.500 0.500
La: 0.500 0.000 0.500
La: 0.500 0.500 0.000
Tm: 0.000 0.000 0.500
Tm: 0.000 0.500 0.000
Tm: 0.500 0.000 0.000
Pu: 0.500 0.500 0.500
Se: 0.238 0.746 0.746
Se: 0.242 0.242 0.242
Se: 0.254 0.254 0.762
Se: 0.254 0.762 0.254
Se: 0.746 0.238 0.746
Se: 0.746 0.746 0.238
Se: 0.758 0.758 0.758
Se: 0.762 0.254 0.254